The following is a DFT calculation (PBE-GGA) of CeHfSn after structural relaxation.

a b c (Å): 3.868 3.868 5.812
angles (deg): 109.43 109.43 90.00
Positions (direct):
Hf: 0.258 0.258 0.515
Ce: 0.957 0.957 0.914
Sn: 0.635 0.635 0.271

Summary:
Space-group type: No. 107
Energy relative to the elements (eV/atom): -0.1752
Excess energy over the best structure of this formula in the dataset (eV/atom): 0.000
Spin magnetization (μB/cell): 0.4
DOS at the Fermi energy (states/eV per atom): 1.895